Entry 1:
Ho2NiPb after structural relaxation. Source: Alexandria via LeMat-Bulk, functional PBE-GGA.

Lattice parameters (Å, degrees): 3.4273 3.4273 8.0764 90.00 90.00 90.00
Fractional coordinates of all 4 atoms:
Ho1 0.0000 0.0000 0.2001
Ho2 0.0000 0.0000 0.7999
Pb1 0.5000 0.5000 0.5000
Ni1 0.5000 0.5000 0.0000

Values from the calculation:
Symmetry: P4/mmm



Entry 2:
ScTi2Ir after structural relaxation. Source: Alexandria via LeMat-Bulk, functional PBE-GGA.

Lattice parameters (Å, degrees): 7.4569 7.4569 5.9568 51.25 51.25 90.00
Fractional coordinates of all 8 atoms:
Sc1 0.2500 0.7500 0.5000
Sc2 0.5000 0.5000 0.0000
Ti1 0.8750 0.9297 0.7500
Ti2 0.0703 0.6250 0.2500
Ti3 0.6797 0.1250 0.2500
Ti4 0.3750 0.3203 0.7500
Ir1 0.7500 0.2500 0.5000
Ir2 0.0000 0.0000 0.0000

Values from the calculation:
Symmetry: I-42d
E above lowest polymorph (meV per atom): 211



| no. | calculated volume (Å³/f.u.) | formation enthalpy at 0 K (eV per atom) |
| --- | --- | --- |
| 1 | 94.9 | -0.419 |
| 2 | 77.1 | -0.197 |